(1)
Computed, not measured: crystalline NiSbAu2 at its relaxed geometry at the GGA-PBE level of DFT.

volume	18.68	Å³ per atom
N(E_F)	5.22	states/eV/cell
raw formation energy	0.126	eV per atom

a = 5.470 Å, b = 10.076 Å, c = 3.474 Å
α = 90.00°, β = 128.69°, γ = 90.00°
Space group C2/m (No. 12)
Inequivalent atoms, fractional coordinates:
Ni: 0.000 0.000 0.000 (multiplicity 2)
Sb: 0.000 0.500 0.000 (multiplicity 2)
Au: 0.250 0.250 0.500 (multiplicity 4)

(2)
Computed, not measured: crystalline NiSbAu2 at its relaxed geometry at the GGA-PBE level of DFT.

volume	17.95	Å³ per atom
N(E_F)	3.11	states/eV/cell
raw formation energy	0.094	eV per atom

a = 3.969 Å, b = 4.381 Å, c = 8.256 Å
α = 90.00°, β = 90.00°, γ = 90.00°
Space group Imm2 (No. 44)
Inequivalent atoms, fractional coordinates:
Ni: 0.000 0.000 0.000 (multiplicity 2)
Sb: 0.000 0.500 0.709 (multiplicity 2)
Au: 0.000 0.000 0.481 (multiplicity 2)
Au: 0.000 0.500 0.252 (multiplicity 2)

(3)
Computed, not measured: crystalline NiSbAu2 at its relaxed geometry at the GGA-PBE level of DFT.

volume	18.00	Å³ per atom
N(E_F)	1.62	states/eV/cell
raw formation energy	0.050	eV per atom

a = 3.335 Å, b = 3.335 Å, c = 6.471 Å
α = 90.00°, β = 90.00°, γ = 90.00°
Space group P4mm (No. 99)
Inequivalent atoms, fractional coordinates:
Ni: 0.000 0.000 0.000 (multiplicity 1)
Sb: 0.500 0.500 0.204 (multiplicity 1)
Au: 0.000 0.000 0.517 (multiplicity 1)
Au: 0.500 0.500 0.769 (multiplicity 1)